A plane-wave DFT calculation with PBE was carried out for an optimized crystal structure of Y3GeP2Rh9.

Its crystal system is trigonal. The value obtained for the uncorrected energy is -7.405 eV/atom. The theoretical density is 7907 kg/m3. Its density of states at the Fermi level is 4.05 states/eV/cell.

Unit cell a=6.0936 b=6.0936 c=8.6688 alpha=90.00 beta=90.00 gamma=120.00
Space group P-3m1 (No. 164)
One atom of each set of equivalent atoms:
1 Y 0.0000 0.0000 0.0000 (multiplicity 1)
2 Y 0.3333 0.6667 0.6934 (multiplicity 2)
3 Ge 0.0000 0.0000 0.5000 (multiplicity 1)
4 P 0.3333 0.6667 0.1674 (multiplicity 2)
5 Rh 0.0000 0.5000 0.0000 (multiplicity 3)
6 Rh 0.1506 0.3011 0.2837 (multiplicity 6)

***

A plane-wave DFT calculation with PBE was carried out for an optimized crystal structure of Pm6YEr8.

Its crystal system is trigonal. The value obtained for the uncorrected energy is -4.640 eV/atom. The theoretical density is 7746 kg/m3. Its density of states at the Fermi level is 66.06 states/eV/cell.

Unit cell a=9.0578 b=9.0578 c=20.7922 alpha=90.00 beta=90.00 gamma=120.00
Space group R-3 (No. 148, hexagonal axes)
One atom of each set of equivalent atoms:
1 Pm 0.0633 0.2482 0.2104 (multiplicity 18)
2 Y 0.0000 0.0000 0.5000 (multiplicity 3)
3 Er 0.0000 0.0000 0.0767 (multiplicity 6)
4 Er 0.0809 0.5548 0.3078 (multiplicity 18)

***

Calculated formation energy, -0.6718 0.1248 eV per atom (same order as the records).